First-principles (PBEsol) data for an optimized crystal structure of BeGeBr2O, as listed in Alexandria.

The structure belongs to space group P4/mmm (No. 123); the cell edges are 5.278, 5.278 and 3.629 Å and the angles 90.00°, 90.00° and 90.00°. The distinct sites, in fractional coordinates, are Be at (0.000, 0.000, 0.000), Ge at (0.500, 0.500, 0.500), Br at (0.000, 0.500, 0.500) and O at (0.500, 0.500, 0.000).

The final energy is -3.54 eV per atom.

***

First-principles (PBEsol) data for an optimized crystal structure of BeGe2PBr, as listed in Alexandria.

The structure belongs to space group P4/mmm (No. 123); the cell edges are 4.917, 4.917 and 3.911 Å and the angles 90.00°, 90.00° and 90.00°. The distinct sites, in fractional coordinates, are Be at (0.000, 0.000, 0.000), Ge at (0.000, 0.500, 0.000), P at (0.000, 0.000, 0.500) and Br at (0.500, 0.500, 0.500).

The value obtained for the energy above the lowest structure with this stoichiometry is 0.000 eV/atom.

***

First-principles (PBEsol) data for an optimized crystal structure of BeGe2PBr, as listed in Alexandria.

The structure belongs to space group P4/mmm (No. 123); the cell edges are 5.119, 5.119 and 4.270 Å and the angles 90.00°, 90.00° and 90.00°. The distinct sites, in fractional coordinates, are Be at (0.000, 0.000, 0.000), Ge at (0.000, 0.500, 0.500), P at (0.500, 0.500, 0.000) and Br at (0.000, 0.000, 0.500).

The value obtained for the energy above the lowest structure with this stoichiometry is 0.887 eV/atom.